{
  "formula": "ZrNp2Tl2Se6",
  "functional": "PBE",
  "state": "relaxed",
  "cell": [[-0.7180, 6.1870, -3.2615], [-4.9786, -4.9146, -0.7016], [-1.8027, 2.4529, 7.6373]],
  "species": ["Zr", "Np", "Np", "Tl", "Tl", "Se", "Se", "Se", "Se", "Se", "Se"],
  "fractional_positions": [[0.0000, 0.0000, 0.5000], [0.3331, 0.6669, 0.5000], [0.6669, 0.3331, 0.5000], [0.8307, 0.1693, 0.0000], [0.1693, 0.8307, 0.0000], [0.7501, 0.7501, 0.7023], [0.0699, 0.3887, 0.7015], [0.2499, 0.2499, 0.2977], [0.3887, 0.0699, 0.7015], [0.9301, 0.6113, 0.2985], [0.6113, 0.9301, 0.2985]],
  "formation_energy_uncorrected_ev_per_atom": -1.02,
  "final_energy_ev_per_atom": -6.48,
  "rho_g_cm3": 7.1,
  "magnetic_moment_mub_per_fu": 8.00
}